(1)
A plane-wave DFT calculation with PBE with a Hubbard U was carried out for WSe3F after structural relaxation.

abc: 4.9117 4.9117 4.9117
angles: 90.00 90.00 90.00
Fractional positions:
1 Se 0.5000 0.0000 0.0000
2 Se 0.0000 0.0000 0.5000
3 Se 0.0000 0.5000 0.0000
4 W 0.0000 0.0000 0.0000
5 F 0.5000 0.5000 0.5000

Computed properties:
Its symmetry is Pm-3m (221). The energy above the lowest structure with this stoichiometry is 0 meV per atom. As for the crystal system: cubic.

---

(2)
A plane-wave DFT calculation with PBE with a Hubbard U was carried out for W3SeF after structural relaxation.

abc: 4.7442 4.7442 4.7442
angles: 90.00 90.00 90.00
Fractional positions:
1 W 0.5000 0.0000 0.0000
2 W 0.0000 0.5000 0.0000
3 W 0.0000 0.0000 0.5000
4 F 0.5000 0.5000 0.5000
5 Se 0.0000 0.0000 0.0000

Computed properties:
Its symmetry is Pm-3m (221). The electronic total energy comes out at -16.66 eV/cell. As for the crystal system: cubic.